4
Lattice="2.850 -4.589 0.000 2.850 4.589 0.000 -0.905 0.000 2.710" Properties=species:S:1:pos:R:3 comment="In2MoW PBEsol relaxed" spacegroup="C2/m (12)" dft_energy_ev_per_cell=-29.33 polymorph_energy_mev_per_atom=207 mass_density_kg_m3=11931 dos_ef_per_ev_atom=0.689 total_magnetization_mub_per_fu=0.00 pbc="T T T"
In 1.425 2.295 0.000
In 1.425 -2.295 0.000
Mo -0.452 0.000 1.355
W 2.398 0.000 1.355

6
Lattice="5.225 -1.411 0.000 5.225 1.411 0.000 -1.978 0.000 6.505" Properties=species:S:1:pos:R:3 comment="LiAg2 PBEsol relaxed" spacegroup="C2/m (12)" dft_energy_ev_per_cell=-17.96 polymorph_energy_mev_per_atom=29 mass_density_kg_m3=7710 dos_ef_per_ev_atom=0.290 total_magnetization_mub_per_fu=0.00 pbc="T T T"
Li 1.663 0.000 0.981
Li 6.809 0.000 5.524
Ag 0.416 0.000 3.447
Ag 4.478 0.000 1.198
Ag 3.994 0.000 5.307
Ag 8.057 0.000 3.058

2
Lattice="3.909 0.000 0.000 -1.955 3.385 0.000 0.000 0.000 2.771" Properties=species:S:1:pos:R:3 comment="AlAu PBEsol relaxed" spacegroup="P-6m2 (187)" dft_energy_ev_per_cell=-8.68 mass_density_kg_m3=10141 dos_ef_per_ev_atom=0.329 total_magnetization_mub_per_fu=0.00 pbc="T T T"
Al 0.000 0.000 0.000
Au 1.955 1.128 1.385

24
Lattice="6.820 0.000 0.000 -2.823 6.602 0.000 -2.930 -2.139 6.419" Properties=species:S:1:pos:R:3 comment="Li2FeSi6O15 PBEsol relaxed" spacegroup="P-1 (2)" dft_energy_ev_per_cell=-184.96 raw_formation_energy_ev_per_atom=-2.452 polymorph_energy_mev_per_atom=40 mass_density_kg_m3=2747 total_magnetization_mub_per_fu=4.00 pbc="T T T"
Li 0.575 0.861 0.885
Li 0.492 3.603 5.534
Fe 3.410 0.000 0.000
Si -1.931 4.855 1.373
Si -1.983 1.884 4.508
Si 0.289 -0.135 3.915
Si 0.777 4.599 2.504
Si 3.049 2.580 1.912
Si 2.998 -0.391 5.047
O -2.877 2.232 3.210
O -2.748 0.774 5.438
O -1.517 5.696 0.069
O 0.160 -0.626 2.358
O -0.104 -1.327 4.933
O -0.587 1.219 4.005
O -0.755 4.131 2.230
O -1.522 3.154 5.400
O 2.589 1.310 1.019
O 1.822 0.333 4.190
O 1.654 3.245 2.414
O 1.171 5.790 1.487
O 0.907 5.089 4.061
O 2.583 -1.233 6.351
O 3.815 3.690 0.981